A plane-wave DFT calculation with PBE-GGA was carried out for ScCdOs2 after structural relaxation.

## Properties
Energy in eV/atom: -7.115
Space-group type: R-3m
DFT formation energy in kJ/mol of formula units: 120

CIF file:
```
data_ScCdOs2
_space_group_name_H-M_alt 'P 1'
_space_group_IT_number 1
_cell_length_a 2.9135
_cell_length_b 2.9135
_cell_length_c 27.5567
_cell_angle_alpha 90.00
_cell_angle_beta 90.00
_cell_angle_gamma 120.00
loop_
_space_group_symop_operation_xyz
'x,y,z'
loop_
_atom_site_label
_atom_site_fract_x
_atom_site_fract_y
_atom_site_fract_z
_atom_site_occupancy
Sc1 0.0000 0.0000 0.0000 1
Sc2 0.3333 0.6667 0.6667 1
Sc3 0.6667 0.3333 0.3333 1
Cd1 0.0000 0.0000 0.5000 1
Cd2 0.3333 0.6667 0.1667 1
Cd3 0.6667 0.3333 0.8333 1
Os1 0.0000 0.0000 0.2540 1
Os2 0.0000 0.0000 0.7460 1
Os3 0.3333 0.6667 0.4126 1
Os4 0.3333 0.6667 0.9207 1
Os5 0.6667 0.3333 0.0793 1
Os6 0.6667 0.3333 0.5874 1
```